(1)
Density functional theory data (PBE) for crystalline ScAlBr2 at its relaxed geometry.

The structure belongs to space group Amm2 (No. 38); the cell edges are 5.2488, 3.6843 and 10.0645 Å and the angles 90.00°, 90.00° and 90.00°. The distinct sites, in fractional coordinates, are Sc at (0.0000, 0.0000, 0.0000), Al at (0.5000, 0.0000, 0.5819), Br at (0.0000, 0.0000, 0.2875) and Br at (0.5000, 0.0000, 0.8873).

The energy above the most stable polymorph in this dataset is 0.1891 eV/atom. The calculation puts the magnetization at 0.00 μB/f.u.


(2)
Density functional theory data (PBE) for crystalline ScAl2Br at its relaxed geometry.

The structure belongs to space group R3m (No. 160, hexagonal axes); the cell edges are 3.3856, 3.3856 and 29.4197 Å and the angles 90.00°, 90.00° and 120.00°. The distinct sites, in fractional coordinates, are Sc at (0.0000, 0.0000, 0.0000), Al at (0.0000, 0.0000, 0.2598), Al at (0.0000, 0.0000, 0.5213) and Br at (0.0000, 0.0000, 0.7292).

The energy above the most stable polymorph in this dataset is 0.0095 eV/atom. The calculation puts the magnetization at 0.01 μB/f.u.


Calculated uncorrected formation energy (kJ/mol of atoms), listed in the same order as above: -58; -32